1.
Compound: TlMoPd3
Source: Alexandria
Functional: GGA-PBE
Structure: optimized geometry

Cell: 4.8738 4.8738 4.8738 Å, 90.00 90.00 90.00°
Sites, in units of the cell vectors:
Tl: 0.5000 0.5000 0.5000
Pd: 0.0000 0.0000 0.5000
Pd: 0.0000 0.5000 0.0000
Pd: 0.5000 0.0000 0.0000
Mo: 0.0000 0.0000 0.0000

Summary:
magnetization: 0.00 μB per formula unit
D(E_F): 4.73 states/eV per cell
energy relative to the lowest polymorph listed for this composition: 0.00 kcal/mol of atoms

***

2.
Compound: Tm2Tl4In
Source: Alexandria
Functional: GGA-PBE
Structure: optimized geometry

Cell: 5.8002 5.7997 7.5518 Å, 112.82 112.58 90.00°
Sites, in units of the cell vectors:
Tl: 0.5000 0.0000 0.0000
Tl: 0.7500 0.2494 0.5000
In: 0.0000 0.0000 0.0000
Tl: 0.2500 0.7506 0.5000
Tl: 0.0000 0.5000 0.0000
Tm: 0.6406 0.6395 0.2811
Tm: 0.3594 0.3605 0.7189

Summary:
magnetization: 0.00 μB per formula unit
D(E_F): 4.75 states/eV per cell
energy relative to the lowest polymorph listed for this composition: 1.78 kcal/mol of atoms

***

3.
Compound: Pr3Ge7Au2
Source: Alexandria
Functional: GGA-PBE
Structure: optimized geometry

Cell: 4.2083 4.6898 13.8408 Å, 100.80 90.00 90.00°
Sites, in units of the cell vectors:
Ge: 0.0000 0.0000 0.0000
Pr: 0.0000 0.1750 0.3692
Au: 0.5000 0.4124 0.7249
Au: 0.5000 0.5876 0.2751
Ge: 0.5000 0.2697 0.5388
Pr: 0.0000 0.8250 0.6308
Ge: 0.0000 0.7132 0.1696
Pr: 0.5000 0.5000 0.0000
Ge: 0.5000 0.9232 0.8342
Ge: 0.5000 0.0768 0.1658
Ge: 0.0000 0.2868 0.8304
Ge: 0.5000 0.7303 0.4612

Summary:
magnetization: 0.00 μB per formula unit
calculated total energy: -4.95 eV/atom
D(E_F): 3.70 states/eV per cell

***

4.
Compound: LiAcZnGa
Source: Alexandria
Functional: GGA-PBE
Structure: optimized geometry

Cell: 5.1752 5.1752 5.1752 Å, 60.00 60.00 60.00°
Sites, in units of the cell vectors:
Ac: 0.7500 0.7500 0.7500
Zn: 0.5000 0.5000 0.5000
Ga: 0.0000 0.0000 0.0000
Li: 0.2500 0.2500 0.2500

Summary:
magnetization: 0.00 μB per formula unit
D(E_F): 2.45 states/eV per cell
energy relative to the lowest polymorph listed for this composition: 1.12 kcal/mol of atoms

***

5.
Compound: TcAuO2
Source: Alexandria
Functional: GGA-PBE
Structure: optimized geometry

Cell: 4.0245 4.0245 4.0245 Å, 60.00 60.00 60.00°
Site moments in Bohr magnetons follow the coordinates.
Sites, in units of the cell vectors:
Tc: 0.0000 0.0000 0.0000  0.89
Au: 0.5000 0.5000 0.5000  0.03
O: 0.7500 0.7500 0.7500  -0.04
O: 0.2500 0.2500 0.2500  -0.04

Summary:
magnetization: 0.93 μB per formula unit
D(E_F): 3.62 states/eV per cell
energy relative to the lowest polymorph listed for this composition: 27.75 kcal/mol of atoms

***

6.
Compound: HoTm5Th4
Source: Alexandria
Functional: GGA-PBE
Structure: optimized geometry

Cell: 3.4531 11.4934 8.6215 Å, 70.62 101.57 90.03°
Sites, in units of the cell vectors:
Th: 0.4024 0.7939 0.8041
Tm: 0.1934 0.9155 0.3869
Th: 0.9082 0.2959 0.8190
Tm: 0.8066 0.0845 0.6131
Th: 0.0918 0.7041 0.1810
Tm: 0.2096 0.3844 0.4195
Ho: 0.5000 0.0000 0.0000
Tm: 0.5000 0.5000 0.0000
Th: 0.5976 0.2061 0.1959
Tm: 0.7904 0.6156 0.5805

Summary:
magnetization: 0.00 μB per formula unit
D(E_F): 17.33 states/eV per cell
energy relative to the lowest polymorph listed for this composition: 0.00 kcal/mol of atoms

***

7.
Compound: Li6PmPt4
Source: Alexandria
Functional: GGA-PBE
Structure: optimized geometry

Cell: 6.7165 6.7165 6.7165 Å, 85.88 122.41 122.41°
Sites, in units of the cell vectors:
Li: 0.5000 0.0000 0.5000
Li: 0.5000 0.5000 0.0000
Li: 0.0000 0.8873 0.5100
Pt: 0.6295 0.3857 0.3857
Li: 0.0000 0.5100 0.8873
Pm: 0.0000 0.0000 0.0000
Li: 0.6227 0.1127 0.1127
Pt: 0.3705 0.7562 0.7562
Pt: 0.0000 0.6143 0.2438
Pt: 0.0000 0.2438 0.6143
Li: 0.3773 0.4900 0.4900

Summary:
magnetization: 0.00 μB per formula unit
calculated total energy: -4.09 eV/atom
D(E_F): 3.72 states/eV per cell

***

8.
Compound: TlTcBr2
Source: Alexandria
Functional: GGA-PBE
Structure: optimized geometry

Cell: 6.7801 6.7801 6.7801 Å, 142.86 142.86 53.53°
Site moments in Bohr magnetons follow the coordinates.
Sites, in units of the cell vectors:
Br: 0.2500 0.7500 0.5000  0.06
Br: 0.0000 0.0000 0.0000  0.05
Tc: 0.5000 0.5000 0.0000  3.52
Tl: 0.7500 0.2500 0.5000  0.00

Summary:
magnetization: 4.15 μB per formula unit
D(E_F): 2.61 states/eV per cell
energy relative to the lowest polymorph listed for this composition: 10.97 kcal/mol of atoms

***

9.
Compound: AcSe2O6
Source: Alexandria
Functional: GGA-PBE
Structure: optimized geometry

Cell: 7.1494 7.1494 7.6393 Å, 106.87 106.87 112.33°
Site moments in Bohr magnetons follow the coordinates.
Sites, in units of the cell vectors:
O: 0.1292 0.6211 0.2477  0.13
Ac: 0.2509 0.2509 0.0000  0.00
O: 0.8294 0.0774 0.4056  0.13
O: 0.8711 0.8792 0.7477  0.13
O: 0.6718 0.4238 0.5944  0.13
Se: 0.1085 0.2353 0.4699  0.07
O: 0.3921 0.9903 0.1236  0.09
O: 0.2403 0.1421 0.6236  0.09
O: 0.8667 0.2685 0.8764  0.09
O: 0.3274 0.5794 0.9056  0.13
Se: 0.7654 0.6386 0.5301  0.07
O: 0.5185 0.6167 0.3764  0.09
Se: 0.4853 0.8585 0.9699  0.07
O: 0.3734 0.8815 0.7523  0.13
O: 0.6738 0.4218 0.0944  0.13
O: 0.1315 0.1234 0.2523  0.13
Se: 0.8886 0.5154 0.0301  0.07
Ac: 0.5009 0.0009 0.5000  0.00

Summary:
magnetization: 1.03 μB per formula unit
D(E_F): 7.93 states/eV per cell
energy relative to the lowest polymorph listed for this composition: 0.33 kcal/mol of atoms

***

10.
Compound: La3TbY2Ho6
Source: Alexandria
Functional: GGA-PBE
Structure: optimized geometry

Cell: 6.2278 6.2278 11.8542 Å, 95.02 95.02 120.01°
Sites, in units of the cell vectors:
La: 0.8334 0.1666 0.5000
Ho: 0.7487 0.7487 0.2452
Ho: 0.0815 0.4142 0.2451
Ho: 0.9185 0.5858 0.7549
Ho: 0.5858 0.9185 0.7549
Tb: 0.0000 0.0000 0.0000
La: 0.1666 0.8334 0.5000
Y: 0.3332 0.6668 0.0000
Ho: 0.2513 0.2513 0.7548
La: 0.5000 0.5000 0.5000
Ho: 0.4142 0.0815 0.2451
Y: 0.6668 0.3332 0.0000

Summary:
magnetization: 0.00 μB per formula unit
calculated total energy: -4.96 eV/atom
D(E_F): 16.83 states/eV per cell

***

11.
Compound: SrCaRe2
Source: Alexandria
Functional: GGA-PBE
Structure: optimized geometry

Cell: 8.3580 8.3580 6.4760 Å, 49.81 49.81 90.00°
Sites, in units of the cell vectors:
Ca: 0.2500 0.7500 0.5000
Re: 0.8750 0.8588 0.7500
Sr: 0.7500 0.2500 0.5000
Re: 0.3750 0.3912 0.7500
Re: 0.1412 0.6250 0.2500
Sr: 0.0000 0.0000 0.0000
Re: 0.6088 0.1250 0.2500
Ca: 0.5000 0.5000 0.0000

Summary:
magnetization: 0.00 μB per formula unit
D(E_F): 8.19 states/eV per cell
energy relative to the lowest polymorph listed for this composition: 29.08 kcal/mol of atoms

***

12.
Compound: Zr2MnRu
Source: Alexandria
Functional: GGA-PBE
Structure: optimized geometry

Cell: 7.2340 7.2340 5.8812 Å, 52.05 52.05 90.00°
Site moments in Bohr magnetons follow the coordinates.
Sites, in units of the cell vectors:
Ru: 0.0000 0.0000 0.0000  0.12
Ru: 0.7500 0.2500 0.5000  0.12
Zr: 0.8750 0.8897 0.7500  -0.30
Zr: 0.1103 0.6250 0.2500  -0.29
Mn: 0.2500 0.7500 0.5000  2.97
Zr: 0.3750 0.3603 0.7500  -0.29
Zr: 0.6397 0.1250 0.2500  -0.29
Mn: 0.5000 0.5000 0.0000  2.97

Summary:
magnetization: 2.41 μB per formula unit
calculated total energy: -8.66 eV/atom
D(E_F): 10.34 states/eV per cell

***

13.
Compound: LiNbPt4
Source: Alexandria
Functional: GGA-PBE
Structure: optimized geometry

Cell: 5.5712 5.5712 7.6946 Å, 111.34 111.34 89.92°
Sites, in units of the cell vectors:
Pt: 0.8843 0.8843 0.7690
Pt: 0.1157 0.1157 0.2310
Nb: 0.0000 0.5000 0.5000
Pt: 0.1155 0.6155 0.2314
Pt: 0.6155 0.1155 0.2314
Li: 0.7500 0.7500 0.0000
Pt: 0.3844 0.3843 0.7690
Pt: 0.3845 0.8845 0.7686
Nb: 0.5000 0.0000 0.5000
Li: 0.2500 0.2500 0.0000
Pt: 0.8845 0.3845 0.7687
Pt: 0.6156 0.6157 0.2310

Summary:
magnetization: 0.00 μB per formula unit
D(E_F): 6.95 states/eV per cell
energy relative to the lowest polymorph listed for this composition: 4.09 kcal/mol of atoms

***

14.
Compound: TmTcB
Source: Alexandria
Functional: GGA-PBE
Structure: optimized geometry

Cell: 3.8117 3.7955 3.7955 Å, 120.00 90.00 90.00°
Sites, in units of the cell vectors:
Tc: 0.1667 0.0000 0.0000
Tm: 0.6666 0.3333 0.6667
B: 0.1667 0.6667 0.3333

Summary:
magnetization: 0.00 μB per formula unit
D(E_F): 2.10 states/eV per cell
energy relative to the lowest polymorph listed for this composition: 0.00 kcal/mol of atoms

***

15.
Compound: Ba2NaCeS4
Source: Alexandria
Functional: GGA-PBE
Structure: optimized geometry

Cell: 4.3659 7.4924 7.4648 Å, 71.10 90.00 90.00°
Site moments in Bohr magnetons follow the coordinates.
Sites, in units of the cell vectors:
Ce: 0.0000 0.5000 0.5000  0.91
S: 0.5000 0.7220 0.2673  -0.01
S: 0.0000 0.7276 0.7398  -0.01
Ba: 0.0000 0.0000 0.0000  0.01
S: 0.5000 0.2780 0.7327  -0.01
S: 0.0000 0.2724 0.2602  -0.01
Na: 0.5000 0.5000 0.0000  0.00
Ba: 0.5000 0.0000 0.5000  0.00

Summary:
magnetization: 0.97 μB per formula unit
calculated total energy: -5.29 eV/atom
D(E_F): 5.54 states/eV per cell

***

16.
Compound: La9PmAl2
Source: Alexandria
Functional: GGA-PBE
Structure: optimized geometry

Cell: 5.0428 5.0428 15.3454 Å, 90.00 90.00 90.00°
Sites, in units of the cell vectors:
La: 0.0000 0.5000 0.1779
Al: 0.0000 0.0000 0.3384
La: 0.5000 0.0000 0.1779
La: 0.5000 0.5000 0.0000
La: 0.5000 0.0000 0.5000
La: 0.5000 0.5000 0.3417
Al: 0.0000 0.0000 0.6616
La: 0.0000 0.5000 0.8221
Pm: 0.0000 0.0000 0.0000
La: 0.0000 0.5000 0.5000
La: 0.5000 0.0000 0.8221
La: 0.5000 0.5000 0.6583

Summary:
magnetization: 0.00 μB per formula unit
calculated total energy: -4.82 eV/atom
D(E_F): 15.84 states/eV per cell

***

17.
Compound: LiGe2C
Source: Alexandria
Functional: GGA-PBE
Structure: optimized geometry

Cell: 6.5616 6.5616 5.3066 Å, 51.81 51.81 90.00°
Sites, in units of the cell vectors:
Ge: 0.8750 0.9520 0.7500
Ge: 0.7020 0.1250 0.2500
Ge: 0.0480 0.6250 0.2500
Li: 0.2500 0.7500 0.5000
C: 0.0000 0.0000 0.0000
Ge: 0.3750 0.2980 0.7500
C: 0.7500 0.2500 0.5000
Li: 0.5000 0.5000 0.0000

Summary:
magnetization: 0.00 μB per formula unit
calculated total energy: -4.66 eV/atom
D(E_F): 1.45 states/eV per cell

***

18.
Compound: Cs2SrMoCl6
Source: Alexandria
Functional: GGA-PBE
Structure: optimized geometry

Cell: 7.5934 7.5934 7.5934 Å, 60.00 60.00 90.00°
Site moments in Bohr magnetons follow the coordinates.
Sites, in units of the cell vectors:
Mo: 0.0000 0.0000 0.0000  1.66
Sr: 0.5000 0.5000 0.0000  -0.01
Cl: 0.7663 0.2337 0.0000  0.01
Cl: 0.2337 0.2337 0.5326  0.01
Cs: 0.7500 0.2500 0.5000  0.00
Cl: 0.7663 0.7663 0.4674  0.01
Cl: 0.7663 0.7663 0.0000  0.01
Cl: 0.2337 0.7663 0.0000  0.01
Cl: 0.2337 0.2337 0.0000  0.01
Cs: 0.2500 0.7500 0.5000  0.00

Summary:
magnetization: 2.00 μB per formula unit
calculated total energy: -4.13 eV/atom
D(E_F): 8.23 states/eV per cell

***

19.
Compound: SiHgSb4
Source: Alexandria
Functional: GGA-PBE
Structure: optimized geometry

Cell: 6.2201 6.2201 6.2201 Å, 60.00 60.00 60.00°
Sites, in units of the cell vectors:
Sb: 0.3757 0.3757 0.3757
Sb: 0.3757 0.8729 0.3757
Sb: 0.8729 0.3757 0.3757
Sb: 0.3757 0.3757 0.8729
Hg: 0.0000 0.0000 0.0000
Si: 0.7500 0.7500 0.7500

Summary:
magnetization: 0.00 μB per formula unit
calculated total energy: -3.14 eV/atom
D(E_F): 4.12 states/eV per cell

***

20.
Compound: BaLiCd4In2
Source: Alexandria
Functional: GGA-PBE
Structure: optimized geometry

Cell: 4.9718 4.9718 10.2277 Å, 75.93 75.93 60.00°
Sites, in units of the cell vectors:
Cd: 0.5973 0.5973 0.2080
Cd: 0.4027 0.4027 0.7920
Cd: 0.8626 0.8626 0.4122
In: 0.2430 0.2430 0.2709
Li: 0.5000 0.5000 0.5000
Ba: 0.0000 0.0000 0.0000
Cd: 0.1374 0.1374 0.5878
In: 0.7570 0.7570 0.7291

Summary:
magnetization: 0.00 μB per formula unit
calculated total energy: -1.85 eV/atom
D(E_F): 1.85 states/eV per cell

***

21.
Compound: CeTiGa
Source: Alexandria
Functional: GGA-PBE
Structure: optimized geometry

Cell: 4.6428 5.8553 5.7120 Å, 80.73 66.02 66.64°
Site moments in Bohr magnetons follow the coordinates.
Sites, in units of the cell vectors:
Ti: 0.7500 0.5000 0.5000  0.01
Ce: 0.8789 0.2421 0.0000  0.27
Ce: 0.1211 0.7579 0.0000  0.27
Ti: 0.2500 0.5000 0.5000  0.01
Ga: 0.6846 0.0000 0.6307  0.00
Ga: 0.3154 0.0000 0.3693  0.00

Summary:
magnetization: 0.32 μB per formula unit
D(E_F): 10.13 states/eV per cell
energy relative to the lowest polymorph listed for this composition: 6.67 kcal/mol of atoms

***

22.
Compound: Er2UIn3Te6
Source: Alexandria
Functional: GGA-PBE
Structure: optimized geometry

Cell: 7.6068 7.6068 8.5599 Å, 98.53 98.53 119.98°
Site moments in Bohr magnetons follow the coordinates.
Sites, in units of the cell vectors:
In: 0.8351 0.1649 0.5000  0.00
Te: 0.7338 0.7338 0.2178  -0.02
In: 0.5000 0.5000 0.5000  0.00
Te: 0.5882 0.9269 0.7809  -0.02
Er: 0.6670 0.3330 0.0000  0.05
Er: 0.3330 0.6670 0.0000  0.05
Te: 0.4118 0.0731 0.2191  -0.02
Te: 0.2662 0.2662 0.7822  -0.02
In: 0.1649 0.8351 0.5000  0.00
Te: 0.9269 0.5882 0.7809  -0.02
U: 0.0000 0.0000 0.0000  2.71
Te: 0.0731 0.4118 0.2191  -0.02

Summary:
magnetization: 3.02 μB per formula unit
calculated total energy: -4.73 eV/atom
D(E_F): 4.15 states/eV per cell

***

23.
Compound: Nd2Zn4Ga3Ge
Source: Alexandria
Functional: GGA-PBE
Structure: optimized geometry

Cell: 4.2873 4.2873 10.5446 Å, 90.00 90.00 90.00°
Sites, in units of the cell vectors:
Nd: 0.5000 0.0000 0.2480
Zn: 0.0000 0.0000 0.0000
Ga: 0.5000 0.0000 0.8670
Ga: 0.0000 0.0000 0.5000
Ge: 0.5000 0.5000 0.5000
Zn: 0.5000 0.0000 0.6365
Zn: 0.5000 0.5000 0.0000
Nd: 0.0000 0.5000 0.7520
Zn: 0.0000 0.5000 0.3635
Ga: 0.0000 0.5000 0.1330

Summary:
magnetization: 0.00 μB per formula unit
calculated total energy: -3.29 eV/atom
D(E_F): 2.38 states/eV per cell